A geometry-optimized Ce2TcPt structure, computed with PBE.

## Properties
- energy of formation (eV/atom) = 0.0233

abc: 3.4324 3.4324 27.3713
angles: 90.00 90.00 120.00
Space group R-3m (No. 166, hexagonal axes)
Unique sites:
Ce 0.0000 0.0000 0.0890
Tc 0.0000 0.0000 0.0000
Pt 0.0000 0.0000 0.5000